No. 1
An optimized crystal structure of RbGaS2Cl. Source: the Alexandria database, functional GGA-PBEsol.

The structure in extended XYZ format:
```
5
Lattice="-2.6477 -2.2311 3.1367 0.0416 -3.8235 -2.6844 4.3938 -1.7047 2.4963" Properties=species:S:1:pos:R:3 pbc="T T T"
S 0.0208 -1.9117 -1.3422
S -1.3238 -1.1155 1.5684
Ga 0.0000 0.0000 0.0000
Rb 0.8939 -3.8796 1.4743
Cl 2.1969 -0.8524 1.2481
```

## Properties
* calculated density: 3.63 g/cm³
* energy relative to the elements, uncorrected: -333 kJ/mol of formula units
* SG: No. 123

No. 2
An optimized crystal structure of Sr2SbS. Source: the Alexandria database, functional GGA-PBEsol.

The structure in extended XYZ format:
```
8
Lattice="6.9185 0.2634 0.4316 -2.3320 6.5189 -0.4316 -2.3320 -3.3650 5.6000" Properties=species:S:1:pos:R:3 pbc="T T T"
Sb 0.0000 0.0000 0.0000
Sb 1.1273 4.1797 1.2921
S -2.3320 1.5770 2.5842
S 1.1273 -0.7623 4.3079
Sr -2.7334 4.3194 1.9611
Sr 3.8219 -0.1136 4.9310
Sr 0.3627 1.8344 3.4460
Sr 3.0578 0.7945 0.8619
```

## Properties
* calculated density: 4.27 g/cm³
* energy relative to the elements, uncorrected: -449 kJ/mol of formula units
* SG: No. 122

No. 3
An optimized crystal structure of Tl2HgSb. Source: the Alexandria database, functional GGA-PBEsol.

The structure in extended XYZ format:
```
8
Lattice="6.1423 0.0000 0.0000 3.0711 6.0492 0.0000 3.0711 0.0000 6.0492" Properties=species:S:1:pos:R:3 pbc="T T T"
Sb 3.0711 0.0000 0.0000
Sb 4.6067 3.0246 3.0246
Tl 9.9812 6.0035 3.0703
Tl 3.8389 0.0457 2.9789
Tl 5.3745 3.0703 0.0457
Tl 5.3745 2.9789 6.0035
Hg 0.0000 0.0000 0.0000
Hg 7.6778 3.0246 3.0246
```

## Properties
* calculated density: 10.80 g/cm³
* energy relative to the elements, uncorrected: 28 kJ/mol of formula units
* SG: No. 122
* ΔE to the lowest computed polymorph: 0.076 eV per atom

No. 4
An optimized crystal structure of AgPbCl2. Source: the Alexandria database, functional GGA-PBEsol.

The structure in extended XYZ format:
```
4
Lattice="-3.7333 1.2119 0.3153 -2.7785 -2.4898 1.2594 -0.8564 1.7495 7.7253" Properties=species:S:1:pos:R:3 pbc="T T T"
Pb -3.7190 0.1780 4.4588
Ag -1.8640 0.0816 2.2048
Cl -6.3998 -1.0925 2.1884
Cl -5.5813 0.2623 6.6726
```

## Properties
* calculated density: 6.25 g/cm³
* energy relative to the elements, uncorrected: -182 kJ/mol of formula units
* SG: No. 160

No. 5
An optimized crystal structure of ZrTlTc. Source: the Alexandria database, functional GGA-PBEsol.

The structure in extended XYZ format:
```
3
Lattice="4.5238 0.0000 0.0000 2.2619 3.9178 0.0000 2.2619 1.3059 3.6937" Properties=species:S:1:pos:R:3 pbc="T T T"
Tc 2.2619 1.3059 0.9234
Tl 0.0000 0.0000 0.0000
Zr 4.5238 2.6118 1.8469
```

## Properties
* calculated density: 9.98 g/cm³
* energy of formation: 452 meV/atom
* SG: No. 216
* ΔE to the lowest computed polymorph: 0.000 eV per atom

No. 6
An optimized crystal structure of Ca2MnSb. Source: the Alexandria database, functional GGA-PBEsol.

The structure in extended XYZ format:
```
4
Lattice="-3.9372 -0.4188 0.1884 0.1465 -2.6867 -2.9107 0.7176 -4.7558 4.4261" Properties=species:S:1:pos:R:3 pbc="T T T"
Sb -1.5365 -3.9307 0.8519
Ca 0.5346 -3.5432 3.2975
Ca 0.1830 -1.2126 1.1286
Mn -1.8953 -1.5528 -1.3611
```

## Properties
* calculated density: 4.15 g/cm³
* energy relative to the elements, uncorrected: -40 kJ/mol of formula units
* SG: No. 123

No. 7
An optimized crystal structure of BaTl3. Source: the Alexandria database, functional GGA-PBEsol.

The structure in extended XYZ format:
```
4
Lattice="-3.0656 2.6779 0.2110 -3.1353 -3.7283 1.7645 1.6081 1.3851 5.7841" Properties=species:S:1:pos:R:3 pbc="T T T"
Tl -0.7513 2.0121 2.9165
Tl -1.8069 0.5890 5.6405
Tl -0.9471 -1.3296 3.1143
Ba 1.5926 1.3718 5.7285
```

## Properties
* calculated density: 9.58 g/cm³
* energy of formation: -244 meV/atom
* SG: No. 25

No. 8
An optimized crystal structure of LiCo3O6. Source: the Alexandria database, functional GGA-PBEsol.

The structure in extended XYZ format:
```
10
Lattice="-3.2203 3.4075 -1.0543 -1.3053 -3.7878 2.6536 2.7463 2.5140 3.4602" Properties=species:S:1:pos:R:3 pbc="T T T"
Co -0.5650 -0.1532 3.1585
Co -1.2144 2.2869 1.9011
Co 1.3731 1.2570 1.7301
O -0.3944 0.6652 1.4945
O -1.3849 1.4686 3.5650
O 1.1608 0.4920 3.4084
O -2.9402 1.6418 1.6511
O -2.3135 -0.7130 2.8646
O 0.5342 2.8467 2.1950
Li -2.2628 -0.1901 0.7996
```

## Properties
* calculated density: 4.82 g/cm³
* energy relative to the elements, uncorrected: -1156 kJ/mol of formula units
* SG: No. 12

No. 9
An optimized crystal structure of AgRuC2. Source: the Alexandria database, functional GGA-PBEsol.

The structure in extended XYZ format:
```
8
Lattice="-4.4744 0.8181 -1.4162 -0.9778 -4.6448 0.4061 1.4654 2.5597 4.8615" Properties=species:S:1:pos:R:3 pbc="T T T"
Ru -2.8676 0.7322 1.4702
Ru -2.7261 -1.9134 -0.5050
C -2.3982 -3.0752 0.9665
C -3.6843 -0.4283 0.2017
C 0.3670 1.2015 3.5409
C -2.2581 -0.2320 2.9939
Ag -1.1192 -1.9992 2.3813
Ag 0.0000 0.0000 0.0000
```

## Properties
* calculated density: 7.44 g/cm³
* energy of formation: 1112 meV/atom
* SG: No. 122

No. 10
An optimized crystal structure of YSc2Re. Source: the Alexandria database, functional GGA-PBEsol.

The structure in extended XYZ format:
```
4
Lattice="-1.6118 1.0788 -2.8738 -4.2592 -1.6782 1.7588 2.0736 4.7411 2.7081" Properties=species:S:1:pos:R:3 pbc="T T T"
Re -2.5760 1.4614 1.9934
Sc -3.7199 3.7423 1.3998
Sc -1.2352 2.7518 -0.3655
Y -2.9991 0.0280 -0.3988
```

## Properties
* calculated density: 7.12 g/cm³
* energy of formation: 106 meV/atom
* SG: No. 44
* ΔE to the lowest computed polymorph: 0.000 eV per atom

No. 11
An optimized crystal structure of Li5NiOF5. Source: the Alexandria database, functional GGA-PBEsol.

The structure in extended XYZ format:
```
12
Lattice="3.0748 0.0000 0.0000 -1.5374 2.6629 0.0000 0.0000 0.0000 14.9105" Properties=species:S:1:pos:R:3 pbc="T T T"
Ni 0.0000 1.7753 0.1017
Li 0.0000 1.7753 9.8829
Li 0.0000 1.7753 5.0467
Li 0.0000 0.0000 7.4652
Li 0.0000 0.0000 12.3033
Li 0.0000 0.0000 2.6026
O 0.0000 0.0000 0.6111
F 0.0000 1.7753 8.0202
F 0.0000 1.7753 3.1808
F 0.0000 1.7753 12.8326
F 0.0000 0.0000 10.4383
F 0.0000 0.0000 5.6024
```

## Properties
* calculated density: 2.78 g/cm³
* energy relative to the elements, uncorrected: -2907 kJ/mol of formula units
* SG: No. 156
* ΔE to the lowest computed polymorph: 0.013 eV per atom

No. 12
An optimized crystal structure of LiCa2BeSn. Source: the Alexandria database, functional GGA-PBEsol.

The structure in extended XYZ format:
```
5
Lattice="-1.7628 1.0608 -4.5477 -4.8781 -3.0781 1.1729 -2.5552 4.8587 2.1238" Properties=species:S:1:pos:R:3 pbc="T T T"
Be -4.5981 1.4207 -0.6255
Ca -1.2776 2.4294 1.0619
Ca -2.4391 -1.5390 0.5865
Sn 0.0000 0.0000 0.0000
Li -0.8814 0.5304 -2.2738
```

## Properties
* calculated density: 2.06 g/cm³
* energy of formation: 420 meV/atom
* SG: No. 123

Which value of calculated density does entry 9 give? 7.44 g/cm³

Which formula does entry 11 have? Li5NiOF5

What is the formula in the eleventh record? Li5NiOF5

Number 5 is which compound? ZrTlTc